# BaSnI2N, optimized geometry, DFT PBE
# Distance to the lowest polymorph of the same formula (eV per atom): 0.000
# VASP energy (eV/atom): -3.751
# V (A^3/atom): 33.855
# Density (g/cm3): 5.14
# ΔE_f (raw) (meV per atom): -281
data_BaSnI2N
_cell_length_a 6.448
_cell_length_b 6.448
_cell_length_c 4.071
_cell_angle_alpha 90.00
_cell_angle_beta 90.00
_cell_angle_gamma 90.00
_symmetry_space_group_name_H-M 'P 4/m m m'
_symmetry_Int_Tables_number 123
_symmetry_space_group_name_Hall '-P 4 2'
loop_
_atom_site_label
_atom_site_fract_x
_atom_site_fract_y
_atom_site_fract_z
Ba1 0.000 0.000 0.000
Sn1 0.500 0.500 0.500
I1 0.000 0.500 0.500
N1 0.500 0.500 0.000